Compound: KCrPO2
Source: Alexandria via LeMat-Bulk
Functional: PBE with a Hubbard U
Structure: relaxed

Results
Its total energy is -3.70 eV per atom. Its space-group type is P4/mmm, No. 123. The magnetic moment comes out at 0.02 μB/cell. As for the polymorph energy (0 for the lowest one): 1502.2 meV per atom.

Cell: 4.5380 4.5380 6.0273 Å, 90.00 90.00 90.00°
Atoms (fractional coordinates):
K  0.0000  0.0000  0.0000
Cr  0.5000  0.5000  0.5000
P  0.0000  0.0000  0.5000
O  0.0000  0.5000  0.0000
O  0.5000  0.0000  0.0000